# 1
A plane-wave DFT calculation with PBE-GGA was carried out for GaCOF2 after structural relaxation.

Output
As for the uncorrected formation energy: -0.1221 eV per atom.

abc: 4.516 4.516 2.792
angles: 90.00 90.00 90.00
Space group P4/mmm (No. 123)
One atom of each set of equivalent atoms:
Ga 0.000 0.000 0.000 (multiplicity 1)
C 0.500 0.500 0.500 (multiplicity 1)
O 0.500 0.500 0.000 (multiplicity 1)
F 0.000 0.500 0.500 (multiplicity 2)

# 2
A plane-wave DFT calculation with PBE-GGA was carried out for ScIn2Se4 after structural relaxation.

Output
As for the uncorrected formation energy: -0.7747 eV per atom.

abc: 6.065 6.065 6.025
angles: 90.00 90.00 90.00
Space group P-42m (No. 111)
One atom of each set of equivalent atoms:
Sc 0.000 0.000 0.000 (multiplicity 1)
In 0.000 0.500 0.500 (multiplicity 2)
Se 0.258 0.258 0.228 (multiplicity 4)

# 3
A plane-wave DFT calculation with PBE-GGA was carried out for YScCrPb2 after structural relaxation.

Output
As for the formation energy: 1349 meV per atom.

abc: 5.502 5.502 5.254
angles: 90.00 90.00 90.00
Space group P4/mmm (No. 123)
One atom of each set of equivalent atoms:
Y 0.000 0.000 0.000 (multiplicity 1)
Sc 0.000 0.000 0.500 (multiplicity 1)
Cr 0.500 0.500 0.000 (multiplicity 1)
Pb 0.000 0.500 0.500 (multiplicity 2)

# 4
A plane-wave DFT calculation with PBE-GGA was carried out for Ca2LaMo after structural relaxation.

Output
As for the formation energy: 679 meV per atom.

abc: 3.417 5.582 6.109
angles: 90.00 103.93 90.00
Space group P2/m (No. 10)
One atom of each set of equivalent atoms:
Ca 0.189 0.000 0.273 (multiplicity 2)
La 0.500 0.500 0.000 (multiplicity 1)
Mo 0.000 0.500 0.500 (multiplicity 1)

# 5
A plane-wave DFT calculation with PBE-GGA was carried out for KPuPb2 after structural relaxation.

Output
As for the formation energy: -20 meV per atom.

abc: 6.100 6.100 3.361
angles: 90.00 90.00 90.00
Space group P4/mmm (No. 123)
One atom of each set of equivalent atoms:
K 0.000 0.000 0.000 (multiplicity 1)
Pu 0.500 0.500 0.000 (multiplicity 1)
Pb 0.000 0.500 0.500 (multiplicity 2)

# 6
A plane-wave DFT calculation with PBE-GGA was carried out for RbIn2Ag after structural relaxation.

Output
As for the formation energy: -11 meV per atom.

abc: 3.642 3.642 8.901
angles: 90.00 90.00 90.00
Space group P4/mmm (No. 123)
One atom of each set of equivalent atoms:
Rb 0.000 0.000 0.000 (multiplicity 1)
In 0.500 0.500 0.318 (multiplicity 2)
Ag 0.000 0.000 0.500 (multiplicity 1)

# 7
A plane-wave DFT calculation with PBE-GGA was carried out for AcPaHgSb after structural relaxation.

Output
As for the uncorrected formation energy: -0.2157 eV per atom.

abc: 7.813 7.813 7.813
angles: 90.00 90.00 90.00
Space group F-43m (No. 216)
One atom of each set of equivalent atoms:
Ac 0.000 0.000 0.000 (multiplicity 4)
Pa 0.000 0.000 0.500 (multiplicity 4)
Hg 0.250 0.250 0.750 (multiplicity 4)
Sb 0.250 0.250 0.250 (multiplicity 4)